Entry 1:
# KFe3Ni | Alexandria via LeMat-Bulk | PBE | optimized geometry
# - Formation enthalpy at 0 K: 1.031 eV/atom
# - Relative energy among the computed polymorphs: 0 meV per atom
data_KFe3Ni
_chemical_formula_sum 'K1 Fe3 Ni1'
_cell_length_a 4.5964
_cell_length_b 4.5964
_cell_length_c 4.5964
_cell_angle_alpha 90.00
_cell_angle_beta 90.00
_cell_angle_gamma 90.00
_space_group_name_H-M_alt 'P 1'
_space_group_IT_number 1
loop_
_space_group_symop_operation_xyz
'x,y,z'
loop_
_atom_site_label
_atom_site_type_symbol
_atom_site_fract_x
_atom_site_fract_y
_atom_site_fract_z
K1 K 0.0000 0.0000 0.0000
Fe1 Fe 0.0000 0.5000 0.5000
Fe2 Fe 0.5000 0.0000 0.5000
Fe3 Fe 0.5000 0.5000 0.0000
Ni1 Ni 0.5000 0.5000 0.5000

---

Entry 2:
# Pu6SeS5 | Alexandria via LeMat-Bulk | PBE | optimized geometry
# - Energy relative to the elements, uncorrected: -1.71 eV per atom
data_Pu6SeS5
_chemical_formula_sum 'Pu6 Se1 S5'
_cell_length_a 6.9260
_cell_length_b 6.9260
_cell_length_c 6.9212
_cell_angle_alpha 99.61
_cell_angle_beta 99.61
_cell_angle_gamma 120.01
_space_group_name_H-M_alt 'P 1'
_space_group_IT_number 1
loop_
_space_group_symop_operation_xyz
'x,y,z'
loop_
_atom_site_label
_atom_site_type_symbol
_atom_site_fract_x
_atom_site_fract_y
_atom_site_fract_z
Pu1 Pu 0.0729 0.4148 0.7447
Pu2 Pu 0.2429 0.2429 0.2542
Pu3 Pu 0.4148 0.0729 0.7447
Pu4 Pu 0.5852 0.9271 0.2553
Pu5 Pu 0.7571 0.7571 0.7458
Pu6 Pu 0.9271 0.5852 0.2553
Se1 Se 0.5000 0.5000 0.0000
S1 S 0.0000 0.0000 0.5000
S2 S 0.1670 0.8330 0.0000
S3 S 0.3368 0.6632 0.5000
S4 S 0.6632 0.3368 0.5000
S5 S 0.8330 0.1670 0.0000

---

Entry 3:
# VReMo | Alexandria via LeMat-Bulk | PBE | optimized geometry
# - Formation enthalpy at 0 K: -0.195 eV/atom
# - Relative energy among the computed polymorphs: 0 meV per atom
data_VReMo
_chemical_formula_sum 'V1 Re1 Mo1'
_cell_length_a 5.1254
_cell_length_b 5.1254
_cell_length_c 5.1254
_cell_angle_alpha 144.98
_cell_angle_beta 144.98
_cell_angle_gamma 50.37
_space_group_name_H-M_alt 'P 1'
_space_group_IT_number 1
loop_
_space_group_symop_operation_xyz
'x,y,z'
loop_
_atom_site_label
_atom_site_type_symbol
_atom_site_fract_x
_atom_site_fract_y
_atom_site_fract_z
V1 V 0.0000 0.0000 0.0000
Re1 Re 0.3372 0.3372 0.0000
Mo1 Mo 0.6656 0.6656 0.0000

---

Entry 4:
# BeIn2BrCl | Alexandria via LeMat-Bulk | PBE | optimized geometry
# - Energy relative to the elements, uncorrected: -0.24 eV per atom
data_BeIn2BrCl
_chemical_formula_sum 'Be1 In2 Br1 Cl1'
_cell_length_a 5.5827
_cell_length_b 5.5827
_cell_length_c 4.3227
_cell_angle_alpha 90.00
_cell_angle_beta 90.00
_cell_angle_gamma 90.00
_space_group_name_H-M_alt 'P 1'
_space_group_IT_number 1
loop_
_space_group_symop_operation_xyz
'x,y,z'
loop_
_atom_site_label
_atom_site_type_symbol
_atom_site_fract_x
_atom_site_fract_y
_atom_site_fract_z
Be1 Be 0.0000 0.0000 0.0000
In1 In 0.0000 0.5000 0.0000
In2 In 0.5000 0.0000 0.0000
Br1 Br 0.5000 0.5000 0.5000
Cl1 Cl 0.0000 0.0000 0.5000